# PBE PuZn, optimized geometry
# Density of states at the Fermi level, states/eV/atom: 1.2277
# V, Å³/f.u.: 34.5
# Total energy, eV per formula unit: -15.56
data_PuZn
_chemical_formula_sum 'Pu2 Zn2'
_cell_length_a 2.725
_cell_length_b 3.646
_cell_length_c 6.976
_cell_angle_alpha 90.00
_cell_angle_beta 94.50
_cell_angle_gamma 90.00
_symmetry_space_group_name_H-M 'P 1 21/m 1'
_symmetry_Int_Tables_number 11
_symmetry_space_group_name_Hall '-P 2yb'
loop_
_atom_site_label
_atom_site_type_symbol
_atom_site_fract_x
_atom_site_fract_y
_atom_site_fract_z
Pu1 Pu 0.137 0.250 0.094
Zn1 Zn 0.273 0.250 0.597